1:
This record from Alexandria describes a relaxed structure of PuGa3Pt. The functional is GGA-PBE.

Unit cell a=4.2685 b=4.2685 c=10.7021 alpha=90.00 beta=90.00 gamma=90.00
Closest atoms and distances in Å follow each position.
Space group I4mm (No. 107)
Unique sites:
Pu  0.0000  0.0000  0.0000 [2 per cell]  12 Ga 3.17-3.54, 4 Pt 3.36
Ga  0.0000  0.0000  0.5895 [2 per cell]  1 Pt 2.44, 4 Ga 2.65
Ga  0.0000  0.5000  0.2365 [4 per cell]  2 Pt 2.52, 2 Ga 2.65
Pt  0.0000  0.0000  0.3613 [2 per cell]  5 Ga 2.44-2.52

Output
Its density of states at the Fermi level is 12.61 states/eV/f.u. The calculation puts the mass density at 11.04 Mg/m³.

***

2:
This record from Alexandria describes a relaxed structure of PuGa3Pt. The functional is GGA-PBE.

Unit cell a=8.3225 b=3.4889 c=12.1168 alpha=90.00 beta=90.00 gamma=90.00
Closest atoms and distances in Å follow each position.
Space group Pnma (No. 62)
Unique sites:
Pu  0.0924  0.2500  0.0053 [4 per cell]  2 Pu 2.33
Ga  0.0886  0.2500  0.4249 [4 per cell]  3 Pt 2.57-2.60, 1 Ga 2.64
Ga  0.0935  0.7500  0.2130 [4 per cell]  2 Pt 2.52-2.59, 2 Ga 2.70
Ga  0.1543  0.7500  0.7969 [4 per cell]  2 Pt 2.63, 5 Ga 2.64-2.91
Pt  0.1250  0.2500  0.6354 [4 per cell]  7 Ga 2.52-2.63

Output
Its density of states at the Fermi level is 3.49 states/eV/f.u. The calculation puts the mass density at 12.24 Mg/m³.

***

Referenced to the most stable arrangement, the calculated values in eV/atom are 1 0.000; 2 0.199.

***

1:
This record from Alexandria describes a relaxed structure of RbGa2Pt2. The functional is GGA-PBE.

Unit cell a=8.1931 b=8.1931 c=2.8279 alpha=90.00 beta=90.00 gamma=90.00
Closest atoms and distances in Å follow each position.
Space group P4/mbm (No. 127)
Unique sites:
Rb  0.0000  0.0000  0.0000 [2 per cell]  2 Rb 2.83
Ga  0.1238  0.3762  0.0000 [4 per cell]  6 Pt 2.78-2.82, 3 Ga 2.83-2.87
Pt  0.1658  0.6658  0.5000 [4 per cell]  6 Ga 2.78-2.82, 2 Pt 2.83

Output
Its density of states at the Fermi level is 1.46 states/eV/f.u. The calculation puts the mass density at 10.76 Mg/m³.

***

2:
This record from Alexandria describes a relaxed structure of RbGa2Pt2. The functional is GGA-PBE.

Unit cell a=6.6808 b=6.7418 c=6.9507 alpha=61.28 beta=79.21 gamma=61.34
Closest atoms and distances in Å follow each position.
Space group P-1 (No. 2)
Unique sites:
Rb  0.2502  0.1254  0.2551 [2 per cell]  8 Ga 3.55-3.88, 8 Pt 3.56-3.90
Ga  0.1008  0.2291  0.7287 [2 per cell]  4 Pt 2.47-2.56
Ga  0.4018  0.5539  0.7783 [2 per cell]  4 Pt 2.47-2.57
Pt  0.2208  0.7789  0.0062 [2 per cell]  4 Ga 2.47-2.56
Pt  0.2782  0.5080  0.4899 [2 per cell]  4 Ga 2.47-2.57

Output
Its density of states at the Fermi level is 1.98 states/eV/f.u. The calculation puts the mass density at 8.49 Mg/m³.

***

3:
This record from Alexandria describes a relaxed structure of RbGa2Pt2. The functional is GGA-PBE.

Unit cell a=4.2200 b=4.2200 c=12.5548 alpha=90.00 beta=90.00 gamma=90.00
Closest atoms and distances in Å follow each position.
Space group I4/mmm (No. 139)
Unique sites:
Rb  0.0000  0.0000  0.0000 [2 per cell]  8 Ga 3.45, 8 Pt 3.78
Ga  0.0000  0.0000  0.3627 [4 per cell]  4 Pt 2.54
Pt  0.0000  0.5000  0.2500 [4 per cell]  4 Ga 2.54

Output
Its density of states at the Fermi level is 2.05 states/eV/f.u. The calculation puts the mass density at 9.14 Mg/m³.

***

Referenced to the most stable arrangement, the calculated values in eV/atom are 1 0.199; 2 0.000; 3 0.085.

***

1:
This record from Alexandria describes a relaxed structure of RbGaPt. The functional is GGA-PBE.

Unit cell a=5.6474 b=8.0408 c=10.3293 alpha=90.00 beta=90.00 gamma=90.00
Closest atoms and distances in Å follow each position.
Space group Cmme (No. 67)
Unique sites:
Rb  0.0000  0.2500  0.2169 [4 per cell]  3 Ga 3.44-3.71, 4 Pt 3.82
Ga  0.0000  0.2500  0.5504 [4 per cell]  4 Pt 2.51
Pt  0.2500  0.0000  0.5000 [4 per cell]  4 Ga 2.51

Output
Its density of states at the Fermi level is 0.94 states/eV/f.u. The calculation puts the mass density at 4.96 Mg/m³.

***

2:
This record from Alexandria describes a relaxed structure of RbGaPt. The functional is GGA-PBE.

Unit cell a=4.2708 b=4.2708 c=5.5871 alpha=90.00 beta=90.00 gamma=120.00
Closest atoms and distances in Å follow each position.
Space group P-6m2 (No. 187)
Unique sites:
Rb  0.0000  0.0000  0.0000 [1 per cell]  6 Ga 3.73, 6 Pt 3.73
Ga  0.6667  0.3333  0.5000 [1 per cell]  3 Pt 2.47
Pt  0.3333  0.6667  0.5000 [1 per cell]  3 Ga 2.47

Output
Its density of states at the Fermi level is 0.49 states/eV/f.u. The calculation puts the mass density at 6.59 Mg/m³.

***

3:
This record from Alexandria describes a relaxed structure of RbGaPt. The functional is GGA-PBE.

Unit cell a=6.8048 b=15.6116 c=3.2219 alpha=90.00 beta=118.10 gamma=90.00
Closest atoms and distances in Å follow each position.
Space group C2/m (No. 12)
Unique sites:
Rb  0.0000  0.1863  0.0000 [4 per cell]  2 Rb 3.22, 2 Pt 3.32
Ga  0.2425  0.5000  0.2416 [4 per cell]  4 Pt 2.64, 1 Ga 2.91
Pt  0.0000  0.4040  0.5000 [4 per cell]  4 Ga 2.64

Output
Its density of states at the Fermi level is 1.26 states/eV/f.u. The calculation puts the mass density at 7.71 Mg/m³.

***

Referenced to the most stable arrangement, the calculated values in eV/atom are 1 0.000; 2 0.072; 3 0.269.

***

1:
This record from Alexandria describes a relaxed structure of RbGaPt3. The functional is GGA-PBE.

Unit cell a=5.1576 b=5.1576 c=5.1576 alpha=90.00 beta=90.00 gamma=90.00
Closest atoms and distances in Å follow each position.
Space group Pm-3m (No. 221)
Unique sites:
Rb  0.0000  0.0000  0.0000 [1 per cell]  6 Pt 2.58
Ga  0.5000  0.5000  0.5000 [1 per cell]  12 Pt 3.65
Pt  0.0000  0.0000  0.5000 [3 per cell]  2 Rb 2.58

Output
Its density of states at the Fermi level is 0.38 states/eV/f.u. The calculation puts the mass density at 8.96 Mg/m³.

***

2:
This record from Alexandria describes a relaxed structure of RbGaPt3. The functional is GGA-PBE.

Unit cell a=4.8298 b=4.8298 c=4.8298 alpha=90.00 beta=90.00 gamma=90.00
Closest atoms and distances in Å follow each position.
Space group Pm-3m (No. 221)
Unique sites:
Rb  0.0000  0.0000  0.0000 [1 per cell]  12 Pt 3.42
Ga  0.5000  0.5000  0.5000 [1 per cell]  6 Pt 2.41
Pt  0.0000  0.5000  0.5000 [3 per cell]  2 Ga 2.41

Output
Its density of states at the Fermi level is 1.87 states/eV/f.u. The calculation puts the mass density at 10.91 Mg/m³.

***

Referenced to the most stable arrangement, the calculated values in eV/atom are 1 1.718; 2 0.000.

***

1:
This record from Alexandria describes a relaxed structure of Rb2GaPt2. The functional is GGA-PBE.

Unit cell a=6.6216 b=6.6216 c=5.8219 alpha=90.00 beta=90.00 gamma=90.00
Closest atoms and distances in Å follow each position.
Space group P4/mbm (No. 127)
Unique sites:
Rb  0.1775  0.3225  0.0000 [4 per cell]  5 Rb 3.32-3.45, 6 Pt 3.37-3.60
Ga  0.0000  0.0000  0.5000 [2 per cell]  4 Pt 2.55
Pt  0.1412  0.6412  0.5000 [4 per cell]  2 Ga 2.55, 1 Pt 2.65

Output
Its density of states at the Fermi level is 2.54 states/eV/f.u. The calculation puts the mass density at 8.21 Mg/m³.

***

2:
This record from Alexandria describes a relaxed structure of Rb2GaPt2. The functional is GGA-PBE.

Unit cell a=4.4739 b=4.4739 c=32.2041 alpha=90.00 beta=90.00 gamma=120.00
Closest atoms and distances in Å follow each position.
Space group R-3m (No. 166, hexagonal axes)
Unique sites:
Rb  0.0000  0.0000  0.0763 [6 per cell]  4 Pt 3.33-3.59
Ga  0.0000  0.0000  0.5000 [3 per cell]  6 Pt 2.62
Pt  0.0000  0.0000  0.1796 [6 per cell]  3 Ga 2.62, 3 Pt 2.71

Output
Its density of states at the Fermi level is 3.01 states/eV/f.u. The calculation puts the mass density at 5.63 Mg/m³.

***

Referenced to the most stable arrangement, the calculated values in eV/atom are 1 0.179; 2 0.000.

***

1:
This record from Alexandria describes a relaxed structure of Ga2RePt. The functional is GGA-PBE.

Unit cell a=6.1768 b=6.1768 c=6.1768 alpha=90.00 beta=90.00 gamma=90.00
Closest atoms and distances in Å follow each position.
Space group Fm-3m (No. 225)
Unique sites:
Ga  0.2500  0.2500  0.2500 [8 per cell]  4 Re 2.67, 4 Pt 2.67
Re  0.0000  0.0000  0.0000 [4 per cell]  8 Ga 2.67
Pt  0.0000  0.0000  0.5000 [4 per cell]  8 Ga 2.67

Output
Its density of states at the Fermi level is 1.34 states/eV/f.u. The calculation puts the mass density at 14.68 Mg/m³.

***

2:
This record from Alexandria describes a relaxed structure of Ga2RePt. The functional is GGA-PBE.

Unit cell a=6.8690 b=6.8690 c=5.6383 alpha=90.00 beta=90.00 gamma=90.00
Closest atoms and distances in Å follow each position.
Space group I-42d (No. 122)
Unique sites:
Ga  0.2402  0.7500  0.1250 [8 per cell]  2 Pt 2.48, 2 Re 2.58
Re  0.0000  0.0000  0.5000 [4 per cell]  4 Ga 2.58, 2 Pt 2.82
Pt  0.0000  0.0000  0.0000 [4 per cell]  4 Ga 2.48

Output
Its density of states at the Fermi level is 2.45 states/eV/f.u. The calculation puts the mass density at 13.00 Mg/m³.

***

Referenced to the most stable arrangement, the calculated values in eV/atom are 1 0.000; 2 0.441.